Material: AgPt4
Method: DFT, PBE-GGA
State: relaxed

Properties
Magnetization (μB/f.u.): 0.0
Total DFT energy (no corrections) (Ry/atom): -0.375
Space-group type: I4/mmm (139)
Calculated formation energy (eV per atom): 0.294
Relative energy among the computed polymorphs (meV/atom): 340.0
Crystal system: tetragonal

Cell: 6.892 6.892 6.892 Å, 148.28 148.28 45.47°
Fractional positions:
Ag: 0.000 0.000 0.000
Pt: 0.250 0.750 0.500
Pt: 0.402 0.402 0.000
Pt: 0.598 0.598 0.000
Pt: 0.750 0.250 0.500